Computed, not measured: CsTl2SnBr5 after structural relaxation at the PBE-GGA level of DFT.

Results
The final energy comes out at -3.008 eV/atom. The value obtained for the total magnetization is 0.000 μB/f.u.

abc: 4.562 19.428 17.593
angles: 90.00 90.00 90.00
Space group Cmc2_1 (No. 36)
One atom of each set of equivalent atoms:
Cs  0.000  0.075  0.000 [4 per cell]
Tl  0.000  0.341  0.831 [4 per cell]
Tl  0.000  0.465  0.229 [4 per cell]
Sn  0.000  0.227  0.624 [4 per cell]
Br  0.000  0.042  0.345 [4 per cell]
Br  0.000  0.080  0.605 [4 per cell]
Br  0.000  0.261  0.011 [4 per cell]
Br  0.000  0.282  0.244 [4 per cell]
Br  0.000  0.385  0.647 [4 per cell]

Computed, not measured: Cs2Tl3SnBr6 after structural relaxation at the PBE-GGA level of DFT.

Results
The final energy comes out at -2.920 eV/atom. The value obtained for the total magnetization is 1.000 μB/f.u.

abc: 8.141 14.549 9.237
angles: 90.00 113.08 90.00
Space group C2/m (No. 12)
One atom of each set of equivalent atoms:
Cs  0.000  0.155  0.000 [4 per cell]
Tl  0.000  0.000  0.500 [2 per cell]
Tl  0.000  0.334  0.500 [4 per cell]
Sn  0.000  0.500  0.000 [2 per cell]
Br  0.209  0.350  0.240 [8 per cell]
Br  0.240  0.500  0.693 [4 per cell]

Computed, not measured: Cs4Tl3SnBr8 after structural relaxation at the PBE-GGA level of DFT.

Results
The final energy comes out at -2.936 eV/atom. The value obtained for the total magnetization is 1.001 μB/f.u.

abc: 17.075 9.764 9.857
angles: 90.00 120.79 90.00
Space group C2/m (No. 12)
One atom of each set of equivalent atoms:
Cs  0.000  0.000  0.000 [2 per cell]
Cs  0.000  0.500  0.000 [2 per cell]
Cs  0.250  0.250  0.500 [4 per cell]
Tl  0.000  0.000  0.500 [2 per cell]
Tl  0.250  0.250  0.000 [4 per cell]
Sn  0.000  0.500  0.500 [2 per cell]
Br  0.011  0.267  0.728 [8 per cell]
Br  0.234  0.000  0.215 [4 per cell]
Br  0.243  0.000  0.758 [4 per cell]

Q: What is the final energy in the third record?
A: -2.936 eV/atom